Material: CrS2NCl
Method: DFT, GGA-PBE
State: relaxed

## Properties
energy relative to the elements, uncorrected	1919	meV per atom
relative energy among the computed polymorphs	1456	meV/atom
space group	P4/mmm (123)
energy	-3.69	eV per atom

Unit cell a=4.741 b=4.741 c=3.347 alpha=90.00 beta=90.00 gamma=90.00
Atoms (fractional coordinates):
Cr  0.000  0.000  0.000
S  0.000  0.500  0.500
S  0.500  0.000  0.500
N  0.500  0.500  0.000
Cl  0.500  0.500  0.500

Material: CrS2NCl
Method: DFT, GGA-PBE
State: relaxed

## Properties
energy relative to the elements, uncorrected	463	meV per atom
relative energy among the computed polymorphs	0	meV/atom
space group	P4/mmm (123)
energy	-5.15	eV per atom

Unit cell a=4.643 b=4.643 c=3.570 alpha=90.00 beta=90.00 gamma=90.00
Atoms (fractional coordinates):
Cr  0.000  0.000  0.000
S  0.000  0.500  0.000
S  0.500  0.000  0.000
N  0.000  0.000  0.500
Cl  0.500  0.500  0.500

Material: ScCr2NCl
Method: DFT, GGA-PBE
State: relaxed

## Properties
energy relative to the elements, uncorrected	-179	meV per atom
space group	P4/mmm (123)
energy	-7.33	eV per atom

Unit cell a=3.746 b=3.746 c=4.952 alpha=90.00 beta=90.00 gamma=90.00
Atoms (fractional coordinates):
Sc  0.000  0.000  0.000
Cr  0.000  0.500  0.500
Cr  0.500  0.000  0.500
N  0.000  0.000  0.500
Cl  0.500  0.500  0.000

Material: ScCrNCl2
Method: DFT, GGA-PBE
State: relaxed

## Properties
energy relative to the elements, uncorrected	-392	meV per atom
space group	P4/mmm (123)
energy	-5.99	eV per atom

Unit cell a=4.962 b=4.962 c=3.595 alpha=90.00 beta=90.00 gamma=90.00
Atoms (fractional coordinates):
Sc  0.000  0.000  0.000
Cr  0.500  0.500  0.500
N  0.500  0.500  0.000
Cl  0.000  0.500  0.500
Cl  0.500  0.000  0.500

Material: CrSeN2Cl
Method: DFT, GGA-PBE
State: relaxed

## Properties
energy relative to the elements, uncorrected	2426	meV per atom
relative energy among the computed polymorphs	1844	meV/atom
space group	P4/mmm (123)
energy	-3.89	eV per atom

Unit cell a=3.829 b=3.829 c=4.742 alpha=90.00 beta=90.00 gamma=90.00
Atoms (fractional coordinates):
Cr  0.000  0.000  0.000
Se  0.500  0.500  0.000
N  0.000  0.500  0.500
N  0.500  0.000  0.500
Cl  0.500  0.500  0.500

Material: CrSe2NCl
Method: DFT, GGA-PBE
State: relaxed

## Properties
energy relative to the elements, uncorrected	342	meV per atom
relative energy among the computed polymorphs	0	meV/atom
space group	P4/mmm (123)
energy	-5.01	eV per atom

Unit cell a=4.938 b=4.938 c=3.540 alpha=90.00 beta=90.00 gamma=90.00
Atoms (fractional coordinates):
Cr  0.000  0.000  0.000
Se  0.000  0.500  0.000
Se  0.500  0.000  0.000
N  0.000  0.000  0.500
Cl  0.500  0.500  0.500

Material: CrSe2NCl
Method: DFT, GGA-PBE
State: relaxed

## Properties
energy relative to the elements, uncorrected	1456	meV per atom
relative energy among the computed polymorphs	1114	meV/atom
space group	P4/mmm (123)
energy	-3.90	eV per atom

Unit cell a=5.179 b=5.179 c=3.435 alpha=90.00 beta=90.00 gamma=90.00
Atoms (fractional coordinates):
Cr  0.000  0.000  0.000
Se  0.000  0.500  0.500
Se  0.500  0.000  0.500
N  0.500  0.500  0.000
Cl  0.500  0.500  0.500

Material: CrSeN2Cl
Method: DFT, GGA-PBE
State: relaxed

## Properties
energy relative to the elements, uncorrected	582	meV per atom
relative energy among the computed polymorphs	0	meV/atom
space group	P4/mmm (123)
energy	-5.74	eV per atom

Unit cell a=3.671 b=3.671 c=5.326 alpha=90.00 beta=90.00 gamma=90.00
Atoms (fractional coordinates):
Cr  0.000  0.000  0.000
Se  0.000  0.000  0.500
N  0.000  0.500  0.000
N  0.500  0.000  0.000
Cl  0.500  0.500  0.500

- energy of number 4 (ScCrNCl2)?
  -5.99 eV per atom

- Look up the energy relative to the elements, uncorrected of the fifth one.
  2426 meV per atom